Entry 1:
SnB2W3 after structural relaxation, computed with PBE.

```
SnB2W3
1.0
-0.387 -1.923 2.512
2.933 0.758 -0.990
0.002 15.050 11.522
B W Sn
4 6 2
direct
0.333 0.667 0.431
0.667 0.333 0.569
0.333 0.667 0.069
0.667 0.333 0.931
0.000 0.000 0.000
0.333 0.667 0.871
0.333 0.667 0.629
0.667 0.333 0.129
0.667 0.333 0.371
0.000 0.000 0.500
0.000 0.000 0.250
0.000 0.000 0.750
```

Computed properties:
Final energy (eV per atom): -9.36
M_tot (Bohr magnetons per cell): 0.00

=====

Entry 2:
SiNiPd after structural relaxation, computed with PBE.

```
SiNiPd
1.0
0.000 2.770 2.770
2.770 0.000 2.770
2.770 2.770 0.000
Si Pd Ni
1 1 1
direct
0.000 0.000 0.000
0.750 0.750 0.750
0.250 0.250 0.250
```

Computed properties:
Final energy (eV per atom): -5.86
M_tot (Bohr magnetons per cell): 0.00

=====

Entry 3:
NaSi2PdO6 after structural relaxation, computed with PBE.

```
NaSi2PdO6
1.0
3.681 5.360 -1.115
-4.312 4.226 2.660
2.343 -2.153 4.313
Si O Na Pd
4 12 2 2
direct
0.618 0.792 0.756
0.382 0.208 0.244
0.792 0.618 0.256
0.208 0.382 0.744
0.904 0.393 0.182
0.038 0.196 0.654
0.607 0.096 0.318
0.629 0.658 0.985
0.342 0.371 0.515
0.393 0.904 0.682
0.096 0.607 0.818
0.658 0.629 0.485
0.196 0.038 0.154
0.804 0.962 0.846
0.962 0.804 0.346
0.371 0.342 0.015
0.294 0.706 0.250
0.706 0.294 0.750
0.099 0.901 0.750
0.901 0.099 0.250
```

Computed properties:
Final energy (eV per atom): -6.67

=====

Entry 4:
ZrAlAgPt after structural relaxation, computed with PBE.

```
ZrAlAgPt
1.0
0.000 3.272 3.272
3.272 0.000 3.272
3.272 3.272 0.000
Pt Zr Al Ag
1 1 1 1
direct
0.000 0.000 0.000
0.750 0.750 0.750
0.250 0.250 0.250
0.500 0.500 0.500
```

Computed properties:
Final energy (eV per atom): -5.93
Distance to the lowest polymorph of the same formula (eV per formula unit): 0.00
M_tot (Bohr magnetons per cell): 0.00

=====

Entry 5:
RbScNbSe3 after structural relaxation, computed with PBE.

```
RbScNbSe3
1.0
-4.134 -1.133 -6.894
3.097 -2.703 7.001
-8.813 2.519 4.871
Se Sc Nb Rb
6 2 2 2
direct
0.382 0.618 0.047
0.382 0.618 0.453
0.070 0.930 0.250
0.618 0.382 0.547
0.618 0.382 0.953
0.930 0.070 0.750
0.000 0.000 0.500
0.000 0.000 0.000
0.531 0.469 0.750
0.469 0.531 0.250
0.746 0.254 0.250
0.254 0.746 0.750
```

Computed properties:
Final energy (eV per atom): -5.75
Distance to the lowest polymorph of the same formula (eV per formula unit): 0.69
M_tot (Bohr magnetons per cell): 1.87

=====

Entry 6:
BaDyEr after structural relaxation, computed with PBE.

```
BaDyEr
1.0
0.122 -5.009 2.821
-4.831 -3.048 0.657
-0.699 -4.934 -2.870
Dy Ba Er
1 1 1
direct
0.750 0.750 0.750
0.250 0.250 0.250
0.000 0.000 0.000
```

Computed properties:
Final energy (eV per atom): -2.87
M_tot (Bohr magnetons per cell): 0.05

=====

Entry 7:
LiAgMoPd after structural relaxation, computed with PBE.

```
LiAgMoPd
1.0
2.582 -2.805 2.287
-0.881 -0.850 4.274
-1.563 -3.986 1.198
Pd Mo Ag Li
1 1 1 1
direct
0.500 0.500 0.500
0.250 0.250 0.250
0.000 0.000 0.000
0.750 0.750 0.750
```

Computed properties:
Final energy (eV per atom): -4.92
Distance to the lowest polymorph of the same formula (eV per formula unit): 0.00
M_tot (Bohr magnetons per cell): 0.00

=====

Entry 8:
NdGdFe2Ge2 after structural relaxation, computed with PBE.

```
NdGdFe2Ge2
1.0
4.135 0.000 0.000
0.000 4.135 0.000
0.000 0.000 6.763
Ge Fe Nd Gd
2 2 1 1
direct
0.000 0.000 0.182
0.500 0.500 0.812
0.500 0.000 0.997
0.000 0.500 0.997
0.500 0.500 0.317
0.000 0.000 0.696
```

Computed properties:
Final energy (eV per atom): -6.38
M_tot (Bohr magnetons per cell): 0.31